Density functional theory data (PBE) for a geometry-optimized Si2TeMo structure.

Values from the calculation:
The calculation puts the electronic total energy at -5.535 eV/atom. For the theoretical density, the calculation gives 6.6 g/cm³. Its space-group type is No. 123.

abc: 4.560 4.560 3.367
angles: 90.00 90.00 90.00
Sites, in units of the cell vectors:
Te1 0.500 0.000 0.500
Si1 0.500 0.500 0.000
Si2 0.000 0.000 0.000
Mo1 0.000 0.500 0.500


Density functional theory data (PBE) for a geometry-optimized SiTeMo2 structure.

Values from the calculation:
The calculation puts the electronic total energy at -7.317 eV/atom. For the theoretical density, the calculation gives 7.8 g/cm³. Its space-group type is No. 166.

abc: 7.159 7.159 7.159
angles: 28.51 28.51 28.51
Sites, in units of the cell vectors:
Si1 0.250 0.250 0.250
Mo1 0.979 0.979 0.979
Mo2 0.521 0.521 0.521
Te1 0.750 0.750 0.750


no.,raw formation energy (eV/atom)
1,0.670
2,0.239